VASP calculation (PBE-GGA) on a relaxed structure of Li2AcAuF8.

a b c (Å): 5.552 5.552 7.337
angles (deg): 90.00 90.00 120.00
Element x y z (fractional)
Li 0.333 0.667 0.224
Li 0.667 0.333 0.776
Ac 0.000 0.000 0.000
Au 0.000 0.000 0.500
F 0.153 0.307 0.288
F 0.153 0.847 0.288
F 0.307 0.153 0.712
F 0.333 0.667 0.979
F 0.667 0.333 0.021
F 0.693 0.847 0.288
F 0.847 0.153 0.712
F 0.847 0.693 0.712

Properties
Symmetry: No. 164
Formation energy from raw total energies (eV per atom): -2.51